1.
## Na3Li3Nb2F12 (PBE)

Data for a geometry-optimized Na3Li3Nb2F12 structure.

Calculated values
Calculated volume (Å³ per atom): 11.67
Calculated total energy (eV/atom): -5.35
M_tot (μB per atom): 0.200

Cell: 12.315 12.315 12.315 Å, 90.00 90.00 90.00°
Space group Ia-3d (No. 230)
Asymmetric unit:
Na  0.000  0.250  0.125 [24 per cell]
Li  0.000  0.250  0.375 [24 per cell]
Nb  0.000  0.000  0.000 [16 per cell]
F  0.030  0.062  0.655 [96 per cell]

=====

2.
## Cu2Ag (PBE)

Data for a geometry-optimized Cu2Ag structure.

Calculated values
Formation energy from the elements (eV/atom): 0.08
Calculated volume (Å³ per atom): 13.87

Cell: 11.234 2.745 8.360 Å, 90.00 104.40 90.00°
Space group Cm (No. 8)
Asymmetric unit:
Cu  0.000  0.000  0.000 [2 per cell]
Cu  0.002  0.000  0.321 [2 per cell]
Cu  0.152  0.500  0.216 [2 per cell]
Cu  0.154  0.500  0.889 [2 per cell]
Cu  0.329  0.000  0.792 [2 per cell]
Cu  0.489  0.500  0.695 [2 per cell]
Ag  0.151  0.500  0.566 [2 per cell]
Ag  0.325  0.000  0.108 [2 per cell]
Ag  0.337  0.000  0.449 [2 per cell]